# Ni14GeRu

A relaxed structure of Ni14GeRu (GGA-PBE, Alexandria via LeMat-Bulk).

Geometry as extended XYZ:
```
16
Lattice="8.2290 0.0000 0.0000 0.0000 2.5039 4.3899 0.0000 -2.5039 4.3899" Properties=species:S:1:pos:R:3 pbc="T T T"
Ni 0.0000 0.0000 0.0000
Ni 0.0000 -1.2470 2.1951
Ni 0.0000 1.2470 2.1951
Ni 0.0000 0.0000 4.3886
Ni 2.0185 -1.2501 5.1218
Ni 2.0185 1.2501 5.1218
Ni 2.0181 0.0000 7.3295
Ni 2.0417 0.0000 2.9378
Ni 4.1145 -1.2632 3.6881
Ni 4.1145 1.2632 3.6881
Ni 6.1872 0.0000 2.9378
Ni 6.2105 -1.2501 5.1218
Ni 6.2105 1.2501 5.1218
Ni 6.2109 0.0000 7.3295
Ge 4.1145 0.0000 1.4959
Ru 4.1145 0.0000 5.8919
```

Values from the calculation:
Energy (eV per atom): -5.94
Energy of formation (eV per formula unit): -0.2